Here is crystalline TbNd2Co at its relaxed geometry from Alexandria via LeMat-Bulk. Energies are from GGA-PBE.

For the final energy, the calculation gives -5.38 eV/atom. The formation energy comes out at -0.061 eV per atom.

The structure belongs to space group P2_1/m (No. 11); the cell edges are 3.7520, 9.8732 and 6.2731 Å and the angles 90.00°, 107.39° and 90.00°. The distinct sites, in fractional coordinates, are Tb at (0.0916, 0.2500, 0.1843), Nd at (0.3627, 0.0728, 0.7244) and Co at (0.2376, 0.7500, 0.4750).